First-principles (GGA-PBE) data for a geometry-optimized Cd2BiPd9 structure, as listed in Alexandria.

The calculation puts the formation energy at -0.256 eV per atom. The value obtained for the density of states at the Fermi level is 14.42 states/eV/f.u.

The space group is P4/mmm (No. 123) and the conventional cell measures 4.054, 4.054 and 12.254 Å, with angles of 90.00, 90.00 and 90.00 degrees. The asymmetric unit holds Cd at (0.000, 0.000, 0.163), Bi at (0.000, 0.000, 0.500), Pd at (0.000, 0.500, 0.000), Pd at (0.000, 0.500, 0.329), Pd at (0.500, 0.500, 0.165) and Pd at (0.500, 0.500, 0.500).



First-principles (GGA-PBE) data for a geometry-optimized CdBiPd5 structure, as listed in Alexandria.

The calculation puts the formation energy at -0.223 eV per atom. The energy above the lowest structure with this stoichiometry comes out at 36 meV/atom. The value obtained for the density of states at the Fermi level is 3.24 states/eV/f.u.

The space group is Cmmm (No. 65) and the conventional cell measures 5.772, 7.732 and 5.840 Å, with angles of 90.00, 90.00 and 90.00 degrees. The asymmetric unit holds Cd at (0.000, 0.000, 0.000), Bi at (0.000, 0.500, 0.500), Pd at (0.000, 0.500, 0.000) and Pd at (0.250, 0.250, 0.251).



First-principles (GGA-PBE) data for a geometry-optimized CdBiPd2 structure, as listed in Alexandria.

The calculation puts the formation energy at -0.052 eV per atom. The value obtained for the density of states at the Fermi level is 2.18 states/eV/f.u.

The space group is I-42d (No. 122) and the conventional cell measures 7.545, 7.545 and 5.969 Å, with angles of 90.00, 90.00 and 90.00 degrees. The asymmetric unit holds Cd at (0.000, 0.000, 0.000), Bi at (0.000, 0.000, 0.500) and Pd at (0.244, 0.750, 0.125).



First-principles (GGA-PBE) data for a geometry-optimized Cd2BiPd8 structure, as listed in Alexandria.

The calculation puts the formation energy at -0.269 eV per atom. The energy above the lowest structure with this stoichiometry comes out at 0 meV/atom. The value obtained for the density of states at the Fermi level is 5.14 states/eV/f.u.

The space group is C2/m (No. 12) and the conventional cell measures 14.554, 4.169 and 6.336 Å, with angles of 90.00, 104.43 and 90.00 degrees. The asymmetric unit holds Cd at (0.223, 0.000, 0.147), Bi at (0.000, 0.500, 0.500), Pd at (0.041, 0.000, 0.224), Pd at (0.092, 0.500, 0.959), Pd at (0.143, 0.000, 0.690) and Pd at (0.180, 0.500, 0.412).



First-principles (GGA-PBE) data for a geometry-optimized CdBiPd structure, as listed in Alexandria.

The calculation puts the formation energy at -0.084 eV per atom. The value obtained for the density of states at the Fermi level is 0.78 states/eV/f.u.

The space group is P3m1 (No. 156) and the conventional cell measures 4.8091, 4.8091 and 3.3831 Å, with angles of 90.00, 90.00 and 120.00 degrees. The asymmetric unit holds Cd at (0.0000, 0.0000, 0.0000), Bi at (0.6667, 0.3333, 0.4991) and Pd at (0.3333, 0.6667, 0.9963).



First-principles (GGA-PBE) data for a geometry-optimized CdBi5Pd5 structure, as listed in Alexandria.

The calculation puts the formation energy at -0.114 eV per atom. The value obtained for the density of states at the Fermi level is 5.83 states/eV/f.u.

The space group is C2/m (No. 12) and the conventional cell measures 11.829, 5.569 and 8.842 Å, with angles of 90.00, 110.82 and 90.00 degrees. The asymmetric unit holds Cd at (0.000, 0.000, 0.000), Bi at (0.000, 0.000, 0.500), Bi at (0.179, 0.500, 0.324), Bi at (0.190, 0.500, 0.866), Pd at (0.000, 0.500, 0.000), Pd at (0.139, 0.000, 0.815) and Pd at (0.154, 0.000, 0.325).



formation energy of number 1 (Cd2BiPd9)?
-0.256 eV per atom



Which of these has the highest formation energy?
CdBiPd2



What is the formation energy in the third record?
-0.052 eV per atom